VASP calculation (PBE) on a geometry-optimized Cs7Rb12Cl structure.

Cell and atoms, written as extended XYZ:
```
20
Lattice="9.421 0.000 -1.713 -4.503 13.191 -6.922 -0.416 0.000 15.557" Properties=species:S:1:pos:R:3 pbc="T T T"
Cl 0.000 0.000 0.000
Rb 0.046 13.185 2.244
Rb 4.711 10.690 -0.861
Cs -2.721 10.293 -5.538
Rb 4.457 0.006 4.678
Rb 2.591 4.673 12.261
Rb 6.412 4.679 1.573
Rb -1.862 7.843 -1.328
Rb 2.637 5.342 5.590
Cs 1.780 2.905 1.373
Rb -0.209 2.501 7.783
Cs -4.037 13.184 5.069
Cs 7.224 2.898 12.460
Rb 1.912 8.518 -5.339
Rb -1.910 8.512 5.350
Rb 1.866 7.850 1.332
Cs 8.540 0.007 1.853
Cs 2.723 10.286 5.549
Cs 4.711 0.000 -0.856
Rb 6.365 5.349 8.251
```

ρ = 1.7 g cm⁻³
V = 1924.1 Å³/f.u.
Crystal system = trigonal
Formation energy (no corrections) = -123 meV per atom
D(E_F) = 0.946 states/eV per atom